# 1
Computed, not measured: a relaxed structure of Cs3Hg2AuBr9 at the GGA-PBE level of DFT.

Cell lengths 7.9298, 7.9298, 9.7436 Å; angles 90.00, 90.00, 120.00 degrees
Element x y z (fractional)
1 Cs 0.0000 0.0000 0.0000
2 Cs 0.3333 0.6667 0.6685
3 Cs 0.6667 0.3333 0.3315
4 Hg 0.3333 0.6667 0.1724
5 Hg 0.6667 0.3333 0.8276
6 Au 0.0000 0.0000 0.5000
7 Br 0.0000 0.5000 0.0000
8 Br 0.1625 0.3250 0.3402
9 Br 0.1625 0.8375 0.3402
10 Br 0.3250 0.1625 0.6598
11 Br 0.5000 0.0000 0.0000
12 Br 0.5000 0.5000 0.0000
13 Br 0.6750 0.8375 0.3402
14 Br 0.8375 0.1625 0.6598
15 Br 0.8375 0.6750 0.6598

Results
Energy relative to the elements, uncorrected: -0.914 eV per atom
Symmetry: P-3m1

=====

# 2
Computed, not measured: a relaxed structure of Cs2HoAuBr6 at the GGA-PBE level of DFT.

Cell lengths 7.9639, 8.0018, 8.0434 Å; angles 112.47, 112.22, 103.01 degrees
Element x y z (fractional)
1 Cs 0.2489 0.2495 0.4990
2 Cs 0.7511 0.7505 0.5010
3 Ho 0.5000 0.0000 0.0000
4 Au 0.0000 0.5000 0.0000
5 Br 0.1450 0.8061 0.0004
6 Br 0.2810 0.7869 0.5636
7 Br 0.3507 0.2779 0.0062
8 Br 0.6493 0.7221 0.9938
9 Br 0.7190 0.2131 0.4364
10 Br 0.8550 0.1939 0.9996

Results
Energy relative to the elements, uncorrected: -1.488 eV per atom
Symmetry: P-1

=====

# 3
Computed, not measured: a relaxed structure of CsAuIBr2 at the GGA-PBE level of DFT.

Cell lengths 5.5640, 5.5640, 5.6844 Å; angles 90.00, 90.00, 90.00 degrees
Element x y z (fractional)
1 Cs 0.0000 0.0000 0.0000
2 Au 0.5000 0.5000 0.5000
3 I 0.5000 0.5000 0.0000
4 Br 0.0000 0.5000 0.5000
5 Br 0.5000 0.0000 0.5000

Results
Energy relative to the elements, uncorrected: -0.765 eV per atom
Symmetry: P4/mmm

=====

# 4
Computed, not measured: a relaxed structure of Cs8AuI3Br4 at the GGA-PBE level of DFT.

Cell lengths 10.7196, 10.7196, 10.7196 Å; angles 59.80, 59.80, 59.80 degrees
Element x y z (fractional)
1 Cs 0.2407 0.7490 0.7490
2 Cs 0.2447 0.2447 0.2447
3 Cs 0.2510 0.2510 0.7593
4 Cs 0.2510 0.7593 0.2510
5 Cs 0.7490 0.2407 0.7490
6 Cs 0.7490 0.7490 0.2407
7 Cs 0.7553 0.7553 0.7553
8 Cs 0.7593 0.2510 0.2510
9 Au 0.0000 0.0000 0.0000
10 I 0.0000 0.5000 0.5000
11 I 0.5000 0.0000 0.5000
12 I 0.5000 0.5000 0.0000
13 Br 0.0000 0.0000 0.5000
14 Br 0.0000 0.5000 0.0000
15 Br 0.5000 0.0000 0.0000
16 Br 0.5000 0.5000 0.5000

Results
Energy relative to the elements, uncorrected: -1.511 eV per atom
Symmetry: R-3m

=====

# 5
Computed, not measured: a relaxed structure of Cs8Au4IBr3 at the GGA-PBE level of DFT.

Cell lengths 10.5747, 10.5747, 10.5747 Å; angles 59.73, 59.73, 59.73 degrees
Element x y z (fractional)
1 Cs 0.2425 0.7551 0.7551
2 Cs 0.2449 0.2449 0.7575
3 Cs 0.2449 0.7575 0.2449
4 Cs 0.2489 0.2489 0.2489
5 Cs 0.7511 0.7511 0.7511
6 Cs 0.7551 0.2425 0.7551
7 Cs 0.7551 0.7551 0.2425
8 Cs 0.7575 0.2449 0.2449
9 Au 0.0000 0.0000 0.0000
10 Au 0.0000 0.5000 0.5000
11 Au 0.5000 0.0000 0.5000
12 Au 0.5000 0.5000 0.0000
13 I 0.5000 0.5000 0.5000
14 Br 0.0000 0.0000 0.5000
15 Br 0.0000 0.5000 0.0000
16 Br 0.5000 0.0000 0.0000

Results
Energy relative to the elements, uncorrected: -1.021 eV per atom
Symmetry: R-3m

=====

# 6
Computed, not measured: a relaxed structure of Cs2AuI2Br2 at the GGA-PBE level of DFT.

Cell lengths 7.0223, 7.0223, 8.4034 Å; angles 102.27, 102.27, 57.60 degrees
Element x y z (fractional)
1 Cs 0.2142 0.2142 0.2691
2 Cs 0.7858 0.7858 0.7309
3 Au 0.5000 0.5000 0.0000
4 I 0.2496 0.7504 0.5000
5 I 0.7504 0.2496 0.5000
6 Br 0.3003 0.3003 0.8748
7 Br 0.6997 0.6997 0.1252

Results
Energy relative to the elements, uncorrected: -0.988 eV per atom
Symmetry: C2/m